Entry 1:
The following is a GGA-PBE calculation of a relaxed NpAl2ZnPt4 crystal, from the Alexandria database.

Results
V = 17.02 Å³ per atom
ΔH_f (0 K) = -0.752 eV/atom
energy = -155.626 eV for the cell shown
crystal system = trigonal

```
data_NpAl2ZnPt4
_space_group_name_H-M_alt 'R -3 m'
_space_group_IT_number 166
_space_group_name_Hall '-R 3 2"'
_cell_length_a 4.2730
_cell_length_b 4.2730
_cell_length_c 25.8347
_cell_angle_alpha 90.00
_cell_angle_beta 90.00
_cell_angle_gamma 120.00
loop_
_atom_site_label
_atom_site_type_symbol
_atom_site_fract_x
_atom_site_fract_y
_atom_site_fract_z
Np1 Np 0.0000 0.0000 0.0000
Al1 Al 0.0000 0.0000 0.2396
Zn1 Zn 0.0000 0.0000 0.5000
Pt1 Pt 0.0000 0.0000 0.1321
Pt2 Pt 0.0000 0.0000 0.3988
```

=====

Entry 2:
The following is a GGA-PBE calculation of a relaxed NpAlZn2Pt4 crystal, from the Alexandria database.

Results
V = 16.84 Å³ per atom
ΔH_f (0 K) = -0.642 eV/atom
energy = -145.594 eV for the cell shown
crystal system = trigonal

```
data_NpAlZn2Pt4
_space_group_name_H-M_alt 'R -3 m'
_space_group_IT_number 166
_space_group_name_Hall '-R 3 2"'
_cell_length_a 4.3389
_cell_length_b 4.3389
_cell_length_c 24.7904
_cell_angle_alpha 90.00
_cell_angle_beta 90.00
_cell_angle_gamma 120.00
loop_
_atom_site_label
_atom_site_type_symbol
_atom_site_fract_x
_atom_site_fract_y
_atom_site_fract_z
Np1 Np 0.0000 0.0000 0.0000
Al1 Al 0.0000 0.0000 0.5000
Zn1 Zn 0.0000 0.0000 0.2447
Pt1 Pt 0.0000 0.0000 0.1328
Pt2 Pt 0.0000 0.0000 0.3973
```

=====

Entry 3:
The following is a GGA-PBE calculation of a relaxed PuNpAl crystal, from the Alexandria database.

Results
V = 18.53 Å³ per atom
ΔH_f (0 K) = 0.361 eV/atom
excess energy over the best structure of this formula in the dataset = 341.6 meV per atom
energy = -119.724 eV for the cell shown
crystal system = monoclinic

```
data_PuNpAl
_space_group_name_H-M_alt 'C 1 2/m 1'
_space_group_IT_number 12
_cell_length_a 16.121
_cell_length_b 2.603
_cell_length_c 5.298
_cell_angle_alpha 90.00
_cell_angle_beta 90.18
_cell_angle_gamma 90.00
loop_
_space_group_symop_operation_xyz
'x,y,z'
'-x,-y,-z'
'-x,y,-z'
'x,-y,z'
'x+1/2,y+1/2,z'
'-x+1/2,-y+1/2,-z'
'-x+1/2,y+1/2,-z'
'x+1/2,-y+1/2,z'
loop_
_atom_site_label
_atom_site_type_symbol
_atom_site_fract_x
_atom_site_fract_y
_atom_site_fract_z
Pu1 Pu 0.197 0.000 0.319
Np1 Np 0.049 0.000 0.314
Al1 Al 0.134 0.000 0.819
```